1.
# TbSmAlPd

A geometry-optimized TbSmAlPd structure (PBE, the Alexandria database).

## Properties
Its symmetry is No. 216. The energy comes out at -5.103 eV per atom.

POSCAR file:
```
TbSmAlPd
1.0
0.000 3.625 3.625
3.625 0.000 3.625
3.625 3.625 0.000
Tb Sm Al Pd
1 1 1 1
direct
0.000 0.000 0.000
0.500 0.500 0.500
0.250 0.250 0.250
0.750 0.750 0.750
```

***

2.
# TbSmAlPd

A geometry-optimized TbSmAlPd structure (PBE, the Alexandria database).

## Properties
Its symmetry is No. 38. The energy comes out at -5.161 eV per atom.

POSCAR file:
```
TbSmAlPd
1.0
4.438 0.000 0.000
0.000 1.929 5.695
0.000 -1.929 5.695
Tb Sm Al Pd
1 1 1 1
direct
0.000 0.000 0.000
0.500 0.706 0.706
0.000 0.288 0.288
0.500 0.428 0.428
```

***

3.
# SmTmAl2Pd5

A geometry-optimized SmTmAl2Pd5 structure (PBE, the Alexandria database).

## Properties
Its symmetry is No. 123. The energy comes out at -5.549 eV per atom.

POSCAR file:
```
SmTmAl2Pd5
1.0
4.232 0.000 0.000
0.000 4.232 0.000
0.000 0.000 9.252
Sm Tm Al Pd
1 1 2 5
direct
0.000 0.000 0.000
0.000 0.000 0.500
0.500 0.500 0.362
0.500 0.500 0.638
0.000 0.500 0.228
0.000 0.500 0.772
0.500 0.000 0.228
0.500 0.000 0.772
0.500 0.500 0.000
```

***

4.
# SmAl2ZnPd4

A geometry-optimized SmAl2ZnPd4 structure (PBE, the Alexandria database).

## Properties
Its symmetry is No. 166. The energy comes out at -5.060 eV per atom.

POSCAR file:
```
SmAl2ZnPd4
1.0
2.147 1.240 8.688
-2.147 1.240 8.688
0.000 -2.480 8.688
Sm Al Zn Pd
1 2 1 4
direct
0.000 0.000 0.000
0.238 0.238 0.238
0.762 0.762 0.762
0.500 0.500 0.500
0.132 0.132 0.132
0.402 0.402 0.402
0.598 0.598 0.598
0.868 0.868 0.868
```

***

5.
# SmAl3ZnPd

A geometry-optimized SmAl3ZnPd structure (PBE, the Alexandria database).

## Properties
Its symmetry is No. 63. The energy comes out at -4.038 eV per atom.

POSCAR file:
```
SmAl3ZnPd
1.0
3.167 -6.144 0.000
3.167 6.144 0.000
0.000 0.000 5.989
Sm Al Zn Pd
2 6 2 2
direct
0.206 0.794 0.750
0.794 0.206 0.250
0.207 0.207 0.000
0.207 0.207 0.500
0.352 0.648 0.250
0.648 0.352 0.750
0.793 0.793 0.000
0.793 0.793 0.500
0.430 0.570 0.750
0.570 0.430 0.250
0.139 0.861 0.250
0.861 0.139 0.750
```

***

6.
# SmAl4Zn2Pd

A geometry-optimized SmAl4Zn2Pd structure (PBE, the Alexandria database).

## Properties
Its symmetry is No. 166. The energy comes out at -3.813 eV per atom.

POSCAR file:
```
SmAl4Zn2Pd
1.0
2.164 1.249 9.022
-2.164 1.249 9.022
0.000 -2.498 9.022
Sm Al Zn Pd
1 4 2 1
direct
0.000 0.000 0.000
0.132 0.132 0.132
0.406 0.406 0.406
0.594 0.594 0.594
0.868 0.868 0.868
0.264 0.264 0.264
0.736 0.736 0.736
0.500 0.500 0.500
```

***

Number 1: formation energy from the elements -0.53 eV per atom. Number 2: formation energy from the elements -0.59 eV per atom. Number 3: formation energy from the elements -0.81 eV per atom. Number 4: formation energy from the elements -0.78 eV per atom. Number 5: formation energy from the elements -0.30 eV per atom. Number 6: formation energy from the elements -0.38 eV per atom.